1.
DFT (PBE) results for a relaxed CaInC2 crystal.

Unit cell a=4.6521 b=4.6521 c=7.5548 alpha=72.07 beta=72.07 gamma=90.00
Positions (direct):
C (0.7283, 0.1250, 0.2500)
In (0.7500, 0.2500, 0.5000)
C (0.8750, 0.9783, 0.7500)
Ca (0.5000, 0.5000, 0.0000)
C (0.0217, 0.6250, 0.2500)
C (0.3750, 0.2717, 0.7500)
Ca (0.2500, 0.7500, 0.5000)
In (0.0000, 0.0000, 0.0000)

Calculated values
Space-group type   I-42d, No. 122
ΔE_f   1.34 eV/atom
Final energy   -4.45 eV per atom
Magnetization   0.0 Bohr magnetons per cell

2.
DFT (PBE) results for a relaxed CaIn3C crystal.

Unit cell a=4.9338 b=4.9338 c=4.9338 alpha=90.00 beta=90.00 gamma=90.00
Positions (direct):
C (0.0000, 0.0000, 0.0000)
In (0.0000, 0.5000, 0.0000)
Ca (0.5000, 0.5000, 0.5000)
In (0.0000, 0.0000, 0.5000)
In (0.5000, 0.0000, 0.0000)

Calculated values
Space-group type   Pm-3m, No. 221
Relative energy among the computed polymorphs   0.0 meV/atom
ΔE_f   0.60 eV/atom
Final energy   -3.28 eV per atom
Magnetization   0.0 Bohr magnetons per cell

3.
DFT (PBE) results for a relaxed CaLa2InC crystal.

Unit cell a=5.1991 b=5.1991 c=5.1263 alpha=90.00 beta=90.00 gamma=90.00
Positions (direct):
La (0.5000, 0.0000, 0.0000)
C (0.0000, 0.0000, 0.0000)
In (0.5000, 0.5000, 0.5000)
La (0.0000, 0.5000, 0.0000)
Ca (0.0000, 0.0000, 0.5000)

Calculated values
Space-group type   P4/mmm, No. 123
ΔE_f   -0.25 eV/atom
Final energy   -5.01 eV per atom
Magnetization   0.0 Bohr magnetons per cell

4.
DFT (PBE) results for a relaxed Ca2LaInC crystal.

Unit cell a=5.2712 b=5.2712 c=4.8321 alpha=90.00 beta=90.00 gamma=90.00
Each line ends with the local moment (μB).
Positions (direct):
Ca (0.5000, 0.0000, 0.0000)  0.00
La (0.0000, 0.0000, 0.5000)  0.08
Ca (0.0000, 0.5000, 0.0000)  0.00
C (0.0000, 0.0000, 0.0000)  0.13
In (0.5000, 0.5000, 0.5000)  0.00

Calculated values
Space-group type   P4/mmm, No. 123
ΔE_f   -0.16 eV/atom
Final energy   -4.34 eV per atom
Magnetization   0.3 Bohr magnetons per cell

5.
DFT (PBE) results for a relaxed Ca2InNiC crystal.

Unit cell a=5.2321 b=5.2321 c=3.6958 alpha=90.00 beta=90.00 gamma=90.00
Positions (direct):
C (0.0000, 0.0000, 0.0000)
In (0.5000, 0.5000, 0.5000)
Ni (0.0000, 0.0000, 0.5000)
Ca (0.5000, 0.0000, 0.0000)
Ca (0.0000, 0.5000, 0.0000)

Calculated values
Space-group type   P4/mmm, No. 123
ΔE_f   -0.10 eV/atom
Final energy   -4.45 eV per atom
Magnetization   0.0 Bohr magnetons per cell

6.
DFT (PBE) results for a relaxed Ca2InOsC crystal.

Unit cell a=5.1110 b=5.1110 c=3.9447 alpha=90.00 beta=90.00 gamma=90.00
Positions (direct):
In (0.5000, 0.5000, 0.5000)
C (0.0000, 0.0000, 0.0000)
Ca (0.5000, 0.0000, 0.0000)
Os (0.0000, 0.0000, 0.5000)
Ca (0.0000, 0.5000, 0.0000)

Calculated values
Space-group type   P4/mmm, No. 123
Relative energy among the computed polymorphs   0.0 meV/atom
ΔE_f   -0.10 eV/atom
Final energy   -5.54 eV per atom
Magnetization   0.0 Bohr magnetons per cell

7.
DFT (PBE) results for a relaxed Ca2InOsC crystal.

Unit cell a=5.7412 b=4.8838 c=5.7412 alpha=90.00 beta=90.00 gamma=90.00
Each line ends with the local moment (μB).
Positions (direct):
C (0.5000, 0.5000, 0.5000)  0.31
Os (0.0000, 0.5000, 0.0000)  0.49
Ca (0.5000, 0.0000, 0.0000)  -0.01
Ca (0.0000, 0.0000, 0.5000)  0.00
In (0.0000, 0.0000, 0.0000)  -0.03

Calculated values
Space-group type   P4/mmm, No. 123
Relative energy among the computed polymorphs   2167.1 meV/atom
ΔE_f   2.07 eV/atom
Final energy   -3.37 eV per atom
Magnetization   1.1 Bohr magnetons per cell

8.
DFT (PBE) results for a relaxed Ca2InRuC crystal.

Unit cell a=5.1242 b=5.1242 c=3.9449 alpha=90.00 beta=90.00 gamma=90.00
Positions (direct):
C (0.0000, 0.0000, 0.0000)
Ru (0.0000, 0.0000, 0.5000)
In (0.5000, 0.5000, 0.5000)
Ca (0.5000, 0.0000, 0.0000)
Ca (0.0000, 0.5000, 0.0000)

Calculated values
Space-group type   P4/mmm, No. 123
ΔE_f   -0.13 eV/atom
Final energy   -5.17 eV per atom
Magnetization   0.0 Bohr magnetons per cell

9.
DFT (PBE) results for a relaxed CaTa2InC crystal.

Unit cell a=5.3741 b=4.2037 c=5.3741 alpha=90.00 beta=90.00 gamma=90.00
Each line ends with the local moment (μB).
Positions (direct):
Ta (0.0000, 0.0000, 0.5000)  0.97
Ta (0.5000, 0.0000, 0.0000)  0.96
Ca (0.5000, 0.5000, 0.5000)  0.13
C (0.0000, 0.5000, 0.0000)  -0.02
In (0.0000, 0.0000, 0.0000)  0.05

Calculated values
Space-group type   P4/mmm, No. 123
ΔE_f   2.35 eV/atom
Final energy   -5.19 eV per atom
Magnetization   3.5 Bohr magnetons per cell

10.
DFT (PBE) results for a relaxed CaIrC2 crystal.

Unit cell a=5.1576 b=5.1576 c=6.1217 alpha=65.09 beta=65.09 gamma=90.00
Positions (direct):
C (0.0251, 0.6250, 0.2500)
Ca (0.2500, 0.7500, 0.5000)
C (0.8750, 0.9749, 0.7500)
C (0.3750, 0.2751, 0.7500)
Ir (0.7500, 0.2500, 0.5000)
Ca (0.5000, 0.5000, 0.0000)
Ir (0.0000, 0.0000, 0.0000)
C (0.7249, 0.1250, 0.2500)

Calculated values
Space-group type   I-42d, No. 122
Relative energy among the computed polymorphs   0.0 meV/atom
ΔE_f   0.49 eV/atom
Final energy   -6.84 eV per atom
Magnetization   0.0 Bohr magnetons per cell

11.
DFT (PBE) results for a relaxed CaIrC2 crystal.

Unit cell a=4.0049 b=4.0049 c=4.0049 alpha=60.00 beta=60.00 gamma=60.00
Positions (direct):
Ir (0.5000, 0.5000, 0.5000)
C (0.7500, 0.7500, 0.7500)
Ca (0.0000, 0.0000, 0.0000)
C (0.2500, 0.2500, 0.2500)

Calculated values
Space-group type   Fm-3m, No. 225
Relative energy among the computed polymorphs   693.4 meV/atom
ΔE_f   1.18 eV/atom
Final energy   -6.15 eV per atom
Magnetization   0.0 Bohr magnetons per cell

12.
DFT (PBE) results for a relaxed CaIrC crystal.

Unit cell a=5.7212 b=5.7212 c=5.7212 alpha=90.00 beta=90.00 gamma=90.00
Positions (direct):
Ir (0.1525, 0.3475, 0.6525)
Ca (0.1477, 0.1477, 0.1477)
C (0.4155, 0.4155, 0.4155)
Ir (0.3475, 0.6525, 0.1525)
Ca (0.6477, 0.3523, 0.8523)
Ir (0.6525, 0.1525, 0.3475)
C (0.5845, 0.9155, 0.0845)
Ca (0.8523, 0.6477, 0.3523)
Ca (0.3523, 0.8523, 0.6477)
C (0.9155, 0.0845, 0.5845)
Ir (0.8475, 0.8475, 0.8475)
C (0.0845, 0.5845, 0.9155)

Calculated values
Space-group type   P2_13, No. 198
Relative energy among the computed polymorphs   0.0 meV/atom
ΔE_f   -0.08 eV/atom
Final energy   -6.78 eV per atom
Magnetization   0.0 Bohr magnetons per cell